Record 1
Density functional theory data (PBE) for crystalline MnBe2Re at its relaxed geometry. Values from VASP.

Cell and atoms, written as Quantum ESPRESSO input:
```
&SYSTEM
  ibrav = 0, nat = 4, ntyp = 3
/
ATOMIC_SPECIES
Be 9.01 Be.upf
Mn 54.94 Mn.upf
Re 186.21 Re.upf
ATOMIC_POSITIONS angstrom
Be 0.000 0.000 0.182
Be 1.414 1.414 1.292
Mn 0.000 0.000 2.642
Re 1.414 1.414 4.005
CELL_PARAMETERS angstrom
2.828 0.000 0.000
0.000 2.828 0.000
0.000 0.000 5.413
```

The formation energy comes out at -4 kJ/mol of atoms. The total moment is 0.00 Bohr magnetons per cell. The density of states at the Fermi level is 0.40 states/eV/atom. For the offset from the most stable computed form, the calculation gives 72 meV/atom.

***

Record 2
Density functional theory data (PBE) for crystalline Mn2ZnBr at its relaxed geometry. Values from VASP.

Cell and atoms, written as Quantum ESPRESSO input:
```
&SYSTEM
  ibrav = 0, nat = 4, ntyp = 3
/
ATOMIC_SPECIES
Br 79.90 Br.upf
Mn 54.94 Mn.upf
Zn 65.41 Zn.upf
ATOMIC_POSITIONS angstrom
Br -0.670 2.316 1.558
Mn 0.000 0.000 0.000
Mn 1.741 2.316 0.000
Zn 2.411 0.001 1.558
CELL_PARAMETERS angstrom
4.821 0.002 0.000
-1.340 4.631 0.000
0.000 0.000 3.116
```

The total moment is 7.95 Bohr magnetons per cell. The energy relative to the elements, uncorrected is 0.443 eV/atom. The density of states at the Fermi level is 0.56 states/eV/atom. For the offset from the most stable computed form, the calculation gives 246 meV/atom.

***

Record 3
Density functional theory data (PBE) for crystalline Nd4PCBr2 at its relaxed geometry. Values from VASP.

Cell and atoms, written as Quantum ESPRESSO input:
```
&SYSTEM
  ibrav = 0, nat = 8, ntyp = 4
/
ATOMIC_SPECIES
P 30.97 P.upf
Nd 144.24 Nd.upf
C 12.01 C.upf
Br 79.90 Br.upf
ATOMIC_POSITIONS angstrom
P 0.000 0.000 0.000
Nd 0.862 -2.330 6.678
Nd -1.084 -4.021 2.251
Nd 3.568 -0.560 4.801
Nd -1.042 -0.297 2.582
C -2.823 -2.064 1.996
Br 1.242 -2.291 3.526
Br 1.401 1.727 3.738
CELL_PARAMETERS angstrom
-2.664 1.954 2.208
-2.983 -6.082 1.784
5.466 1.501 5.267
```

The total moment is 0.00 Bohr magnetons per cell. The energy relative to the elements, uncorrected is -1.188 eV/atom. The density of states at the Fermi level is 0.31 states/eV/atom.

***

Record 4
Density functional theory data (PBE) for crystalline CeScN at its relaxed geometry. Values from VASP.

Cell and atoms, written as Quantum ESPRESSO input:
```
&SYSTEM
  ibrav = 0, nat = 3, ntyp = 3
/
ATOMIC_SPECIES
N 14.01 N.upf
Sc 44.96 Sc.upf
Ce 140.12 Ce.upf
ATOMIC_POSITIONS angstrom
N 0.182 0.000 0.000
Sc 1.245 0.000 1.907
Ce 4.681 1.651 0.953
CELL_PARAMETERS angstrom
6.108 0.000 0.000
0.000 3.302 0.000
0.000 -1.651 2.860
```

The total moment is 0.23 Bohr magnetons per cell. The energy relative to the elements, uncorrected is -1.035 eV/atom. The density of states at the Fermi level is 1.46 states/eV/atom. For the offset from the most stable computed form, the calculation gives 9 meV/atom.